The following is a DFT calculation (PBE) of an optimized crystal structure of SrPm3Ge3.

Unit cell a=7.9965 b=7.9965 c=7.9965 alpha=69.95 beta=69.95 gamma=69.95
Closest atoms and distances in Å follow each position.
Positions (direct):
Sr  0.1701  0.1701  0.1701  6 Ge 3.23-3.34, 3 Pm 3.61
Sr  0.8299  0.8299  0.8299  6 Ge 3.23-3.34, 3 Pm 3.61
Pm  0.1175  0.4021  0.7091  5 Ge 2.98-3.24
Pm  0.2909  0.8825  0.5979  5 Ge 2.98-3.24
Pm  0.4021  0.7091  0.1175  5 Ge 2.98-3.24
Pm  0.5979  0.2909  0.8825  5 Ge 2.98-3.24
Pm  0.7091  0.1175  0.4021  5 Ge 2.98-3.24
Pm  0.8825  0.5979  0.2909  5 Ge 2.98-3.24
Ge  0.0676  0.7722  0.4273  5 Pm 2.98-3.24, 1 Sr 3.23
Ge  0.2278  0.5727  0.9324  5 Pm 2.98-3.24, 1 Sr 3.23
Ge  0.4273  0.0676  0.7722  5 Pm 2.98-3.24, 1 Sr 3.23
Ge  0.5727  0.9324  0.2278  5 Pm 2.98-3.24, 1 Sr 3.23
Ge  0.7722  0.4273  0.0676  5 Pm 2.98-3.24, 1 Sr 3.23
Ge  0.9324  0.2278  0.5727  5 Pm 2.98-3.24, 1 Sr 3.23

Properties
uncorrected energy: -0.1782 Ha/atom
N(E_F): 5.212 states/eV/f.u.